No. 1
## LiBeCl3 (PBE-GGA)

Data for crystalline LiBeCl3 at its relaxed geometry.

Computed properties:
**Energy above the most stable polymorph in this dataset**: 1359.7 meV/atom
**E**: -2.4277 eV per atom
**M_tot**: 0.0000 μB/atom
**Energy relative to the elements, uncorrected**: -0.192 eV per atom

abc: 4.6101 4.6101 4.6101
angles: 90.00 90.00 90.00
Sites, in units of the cell vectors:
Li: 0.0000 0.0000 0.0000
Be: 0.5000 0.5000 0.5000
Cl: 0.0000 0.0000 0.5000
Cl: 0.0000 0.5000 0.0000
Cl: 0.5000 0.0000 0.0000

No. 2
## RbBeCdHg2 (PBE-GGA)

Data for crystalline RbBeCdHg2 at its relaxed geometry.

Computed properties:
**E**: -1.1751 eV per atom
**Energy of formation from the pure elements**: 67 meV per atom
**M_tot**: 0.0000 μB/atom

abc: 5.1240 5.1240 5.0481
angles: 90.00 90.00 90.00
Sites, in units of the cell vectors:
Rb: 0.0000 0.0000 0.0000
Be: 0.5000 0.5000 0.5000
Cd: 0.5000 0.5000 0.0000
Hg: 0.0000 0.5000 0.5000
Hg: 0.5000 0.0000 0.5000

No. 3
## LiHg2Se (PBE-GGA)

Data for crystalline LiHg2Se at its relaxed geometry.

Computed properties:
**E**: -1.6868 eV per atom
**M_tot**: 0.0000 μB/atom
**Energy relative to the elements, uncorrected**: -0.186 eV per atom

abc: 6.3882 6.3882 3.1149
angles: 90.00 90.00 130.08
Sites, in units of the cell vectors:
Li: 0.0000 0.0000 0.0000
Hg: 0.0000 0.5000 0.5000
Hg: 0.5000 0.0000 0.5000
Se: 0.5000 0.5000 0.0000

no.,DOS at the Fermi energy (states/eV per atom)
1,0.281
2,0.367
3,0.194